Computed, not measured: a geometry-optimized NaBMoO5 structure at the PBE+U level of DFT.

```
NaBMoO5
1.0
5.259 0.162 -0.138
-1.380 5.078 -0.138
-1.782 -2.408 6.625
Na B Mo O
2 2 2 10
Cartesian
0.427 2.808 1.518
1.670 0.024 4.830
2.719 1.112 1.518
-0.622 1.721 4.830
-0.891 -1.204 3.312
0.000 0.000 0.000
-1.322 4.103 1.518
3.419 -1.271 4.830
3.956 1.346 0.716
-1.860 1.486 5.632
2.855 -0.141 2.320
-0.758 2.973 4.029
2.462 2.291 2.405
-0.365 0.541 3.943
1.515 1.013 0.631
0.582 1.820 5.717
```

Values from the calculation:
Symmetry: C2/c, No. 15
VASP energy: -6.84 eV per atom
Density of states at the Fermi level: 0.000 states/eV per atom
Magnetization: 0.00 μB per formula unit